The following is a DFT calculation (PBE) of a relaxed Li2TcNi crystal.

## Properties
Calculated formation energy   0.349 eV per atom
ΔE to the lowest computed polymorph   0.263 eV per atom
Magnetic moment   2.37 Bohr magnetons per cell
Calculated density   5.30 Mg/m³

a b c (Å): 5.012 5.012 5.012
angles (deg): 139.12 139.12 59.20
Atoms (fractional coordinates):
Li1 0.250 0.750 0.500
Li2 0.750 0.250 0.500
Tc1 0.000 0.000 0.000
Ni1 0.500 0.500 0.000

=====

The following is a DFT calculation (PBE) of a relaxed PuHSe crystal.

## Properties
Magnetic moment   5.00 Bohr magnetons per cell
Calculated density   8.22 Mg/m³

a b c (Å): 4.523 4.523 4.523
angles (deg): 60.00 60.00 60.00
Atoms (fractional coordinates):
Pu1 0.000 0.000 0.000
H1 0.750 0.750 0.750
Se1 0.250 0.250 0.250

=====

The following is a DFT calculation (PBE) of a relaxed Zn2BrCl crystal.

## Properties
Raw formation energy   -41 meV/atom
ΔE to the lowest computed polymorph   0.574 eV per atom
Magnetic moment   0.00 Bohr magnetons per cell
Calculated density   4.84 Mg/m³

a b c (Å): 4.924 4.924 4.924
angles (deg): 60.00 60.00 60.00
Atoms (fractional coordinates):
Zn1 0.250 0.250 0.250
Zn2 0.750 0.750 0.750
Br1 0.000 0.000 0.000
Cl1 0.500 0.500 0.500

=====

The following is a DFT calculation (PBE) of a relaxed Cd2CoTcPb crystal.

## Properties
Calculated formation energy   0.890 eV per atom
Magnetic moment   1.47 Bohr magnetons per cell
Calculated density   7.95 Mg/m³

a b c (Å): 5.310 5.310 4.365
angles (deg): 90.00 90.00 90.00
Atoms (fractional coordinates):
Cd1 0.000 0.500 0.000
Cd2 0.500 0.000 0.000
Co1 0.000 0.000 0.500
Tc1 0.000 0.000 0.000
Pb1 0.500 0.500 0.500

=====

The following is a DFT calculation (PBE) of a relaxed Sr2CuH crystal.

## Properties
ΔE to the lowest computed polymorph   0.196 eV per atom
Magnetic moment   0.00 Bohr magnetons per cell
Calculated density   3.89 Mg/m³

a b c (Å): 5.253 5.253 5.253
angles (deg): 60.00 60.00 60.00
Atoms (fractional coordinates):
Sr1 0.250 0.250 0.250
Sr2 0.750 0.750 0.750
Cu1 0.000 0.000 0.000
H1 0.500 0.500 0.500

=====

The following is a DFT calculation (PBE) of a relaxed Co4HgSb crystal.

## Properties
Raw formation energy   352 meV/atom
Magnetic moment   6.43 Bohr magnetons per cell
Calculated density   10.60 Mg/m³

a b c (Å): 4.981 4.981 4.981
angles (deg): 60.00 60.00 60.00
Atoms (fractional coordinates):
Co1 0.125 0.125 0.125
Co2 0.125 0.125 0.625
Co3 0.125 0.625 0.125
Co4 0.625 0.125 0.125
Hg1 0.750 0.750 0.750
Sb1 0.500 0.500 0.500

=====

The following is a DFT calculation (PBE) of a relaxed NpBF crystal.

## Properties
Raw formation energy   -788 meV/atom
Magnetic moment   4.81 Bohr magnetons per cell
Calculated density   9.67 Mg/m³

a b c (Å): 10.511 7.979 7.238
angles (deg): 87.24 49.31 43.45
Atoms (fractional coordinates):
Np1 0.049 0.678 0.322
Np2 0.322 0.951 0.049
Np3 0.678 0.049 0.951
Np4 0.951 0.322 0.678
B1 0.052 0.052 0.948
B2 0.099 0.901 0.099
B3 0.901 0.099 0.901
B4 0.948 0.948 0.052
F1 0.229 0.410 0.590
F2 0.410 0.229 0.771
F3 0.590 0.771 0.229
F4 0.771 0.590 0.410

=====

The following is a DFT calculation (PBE) of a relaxed YAlIr4 crystal.

## Properties
Calculated formation energy   -0.408 eV per atom
Magnetic moment   0.00 Bohr magnetons per cell
Calculated density   14.24 Mg/m³

a b c (Å): 5.265 5.265 5.265
angles (deg): 60.00 60.00 60.00
Atoms (fractional coordinates):
Y1 0.000 0.000 0.000
Al1 0.750 0.750 0.750
Ir1 0.376 0.376 0.376
Ir2 0.376 0.376 0.873
Ir3 0.376 0.873 0.376
Ir4 0.873 0.376 0.376

=====

The following is a DFT calculation (PBE) of a relaxed TmPaPdRh crystal.

## Properties
Calculated formation energy   -0.652 eV per atom
Magnetic moment   0.04 Bohr magnetons per cell
Calculated density   12.20 Mg/m³

a b c (Å): 4.894 4.894 4.894
angles (deg): 60.00 60.00 60.00
Atoms (fractional coordinates):
Tm1 0.000 0.000 0.000
Pa1 0.500 0.500 0.500
Pd1 0.250 0.250 0.250
Rh1 0.750 0.750 0.750

=====

The following is a DFT calculation (PBE) of a relaxed Ac6Tb3Nd crystal.

## Properties
Calculated formation energy   0.097 eV per atom
Magnetic moment   0.00 Bohr magnetons per cell
Calculated density   8.19 Mg/m³

a b c (Å): 13.653 3.806 16.825
angles (deg): 90.00 113.16 90.00
Atoms (fractional coordinates):
Ac1 0.049 0.250 0.208
Ac2 0.241 0.250 0.588
Ac3 0.266 0.750 0.400
Ac4 0.311 0.750 0.200
Ac5 0.367 0.750 0.996
Ac6 0.433 0.750 0.794
Ac7 0.567 0.250 0.206
Ac8 0.633 0.250 0.004
Ac9 0.689 0.250 0.800
Ac10 0.734 0.250 0.600
Ac11 0.759 0.750 0.412
Ac12 0.951 0.750 0.792
Tb1 0.018 0.750 0.410
Tb2 0.195 0.250 0.802
Tb3 0.500 0.250 0.405
Tb4 0.500 0.750 0.595
Tb5 0.805 0.750 0.198
Tb6 0.982 0.250 0.590
Nd1 0.120 0.250 0.997
Nd2 0.880 0.750 0.003

=====

| no. | E (eV per atom) |
| --- | --- |
| 1 | -4.64 |
| 2 | -7.79 |
| 3 | -1.56 |
| 4 | -3.71 |
| 5 | -2.57 |
| 6 | -5.12 |
| 7 | -7.95 |
| 8 | -8.02 |
| 9 | -7.28 |
| 10 | -4.23 |